{
  "formula": "Pr2Pd3Pb",
  "functional": "PBE",
  "state": "relaxed",
  "polymorph_energy_ev_per_atom": 0.0298,
  "e_tot_ev_per_atom": -5.414,
  "spacegroup": "Fmmm, No. 69",
  "lattice_angstrom": [[-4.332, -3.970, -1.335], [4.929, -2.343, -2.554], [1.315, -0.906, 8.785]],
  "species": ["Pb", "Pb", "Pd", "Pd", "Pd", "Pd", "Pd", "Pd", "Pr", "Pr", "Pr", "Pr"],
  "frac_coords": [[0.333, 0.333, 0.666], [0.667, 0.667, 0.334], [0.168, 0.666, 0.834], [0.666, 0.168, 0.834], [0.334, 0.832, 0.166], [0.836, 0.836, 0.672], [0.832, 0.334, 0.166], [0.164, 0.164, 0.328], [0.240, 0.240, 0.000], [0.750, 0.250, 0.500], [0.250, 0.750, 0.500], [0.760, 0.760, 0.000]]
}

=====

{
  "formula": "HfAgSeN2",
  "functional": "PBE",
  "state": "relaxed",
  "polymorph_energy_ev_per_atom": 0.0000,
  "e_tot_ev_per_atom": -6.265,
  "spacegroup": "P4/mmm, No. 123",
  "lattice_angstrom": [[4.157, 0.000, 0.000], [0.000, 4.157, 0.000], [0.000, 0.000, 5.489]],
  "species": ["Ag", "Hf", "Se", "N", "N"],
  "frac_coords": [[0.500, 0.500, 0.500], [0.000, 0.000, 0.000], [0.000, 0.000, 0.500], [0.500, 0.000, 0.000], [0.000, 0.500, 0.000]]
}

=====

{
  "formula": "PrPu2Ag",
  "functional": "PBE",
  "state": "relaxed",
  "e_tot_ev_per_atom": -8.860,
  "spacegroup": "P4/mmm, No. 123",
  "lattice_angstrom": [[3.769, 0.000, 0.000], [0.000, 3.769, 0.000], [0.000, 0.000, 7.983]],
  "species": ["Pu", "Pu", "Ag", "Pr"],
  "frac_coords": [[0.000, 0.000, 0.791], [0.000, 0.000, 0.209], [0.500, 0.500, 0.000], [0.500, 0.500, 0.500]]
}

=====

{
  "formula": "NiMo2I",
  "functional": "PBE",
  "state": "relaxed",
  "polymorph_energy_ev_per_atom": 0.0000,
  "e_tot_ev_per_atom": -6.477,
  "spacegroup": "Fm-3m, No. 225",
  "lattice_angstrom": [[0.000, 3.169, 3.169], [3.169, 0.000, 3.169], [3.169, 3.169, 0.000]],
  "species": ["Mo", "Mo", "Ni", "I"],
  "frac_coords": [[0.750, 0.750, 0.750], [0.250, 0.250, 0.250], [0.000, 0.000, 0.000], [0.500, 0.500, 0.500]]
}

=====

{
  "formula": "PbCSe2N",
  "functional": "PBE",
  "state": "relaxed",
  "polymorph_energy_ev_per_atom": 0.0000,
  "e_tot_ev_per_atom": -4.911,
  "spacegroup": "P4/mmm, No. 123",
  "lattice_angstrom": [[6.281, 0.000, 0.000], [0.000, 6.281, 0.000], [0.000, 0.000, 2.587]],
  "species": ["C", "Pb", "Se", "Se", "N"],
  "frac_coords": [[0.000, 0.000, 0.000], [0.500, 0.500, 0.500], [0.500, 0.000, 0.000], [0.000, 0.500, 0.000], [0.000, 0.000, 0.500]]
}

=====

{
  "formula": "SbPtS2Cl",
  "functional": "PBE",
  "state": "relaxed",
  "polymorph_energy_ev_per_atom": 0.0000,
  "e_tot_ev_per_atom": -3.829,
  "spacegroup": "P4/mmm, No. 123",
  "lattice_angstrom": [[-3.250, -0.271, 3.466], [3.445, -0.889, 3.161], [0.467, 4.663, 0.802]],
  "species": ["S", "S", "Sb", "Cl", "Pt"],
  "frac_coords": [[0.000, 0.500, 0.000], [0.500, 0.000, 0.000], [0.500, 0.500, 0.500], [0.000, 0.000, 0.500], [0.000, 0.000, 0.000]]
}

=====

{
  "formula": "Ga2PtRhS",
  "functional": "PBE",
  "state": "relaxed",
  "e_tot_ev_per_atom": -4.276,
  "spacegroup": "P4/mmm, No. 123",
  "lattice_angstrom": [[4.615, 0.000, 0.000], [0.000, 4.346, 0.000], [0.000, 0.000, 4.615]],
  "species": ["Ga", "Ga", "Pt", "S", "Rh"],
  "frac_coords": [[0.500, 0.000, 0.000], [0.000, 0.000, 0.500], [0.500, 0.500, 0.500], [0.000, 0.000, 0.000], [0.000, 0.500, 0.000]]
}

=====

{
  "formula": "Hg2MoPb",
  "functional": "PBE",
  "state": "relaxed",
  "e_tot_ev_per_atom": -3.275,
  "spacegroup": "P4mm, No. 99",
  "lattice_angstrom": [[3.036, 0.000, 0.000], [0.000, 3.036, 0.000], [0.000, 0.000, 10.239]],
  "species": ["Pb", "Hg", "Hg", "Mo"],
  "frac_coords": [[0.500, 0.500, 0.708], [0.500, 0.500, 0.286], [0.000, 0.000, 0.023], [0.000, 0.000, 0.483]]
}

=====

{
  "formula": "CuBrCl2",
  "functional": "PBE",
  "state": "relaxed",
  "polymorph_energy_ev_per_atom": 0.7565,
  "e_tot_ev_per_atom": -1.861,
  "spacegroup": "Cmmm, No. 65",
  "lattice_angstrom": [[-1.098, 3.891, 2.874], [-4.725, -0.216, -1.500], [-0.709, -2.071, 2.533]],
  "species": ["Br", "Cl", "Cl", "Cu"],
  "frac_coords": [[0.000, 0.500, 0.500], [0.000, 0.000, 0.000], [0.500, 0.500, 0.000], [0.500, 0.000, 0.500]]
}

=====

{
  "formula": "YCd3Pd",
  "functional": "PBE",
  "state": "relaxed",
  "polymorph_energy_ev_per_atom": 0.0000,
  "e_tot_ev_per_atom": -3.257,
  "spacegroup": "Pnma, No. 62",
  "lattice_angstrom": [[4.202, 0.000, 0.000], [0.000, 9.346, 0.000], [0.000, 0.000, 11.623]],
  "species": ["Y", "Y", "Y", "Y", "Pd", "Pd", "Pd", "Pd", "Cd", "Cd", "Cd", "Cd", "Cd", "Cd", "Cd", "Cd", "Cd", "Cd", "Cd", "Cd"],
  "frac_coords": [[0.250, 0.189, 0.007], [0.250, 0.689, 0.493], [0.750, 0.311, 0.507], [0.750, 0.811, 0.993], [0.750, 0.344, 0.132], [0.250, 0.656, 0.868], [0.750, 0.844, 0.368], [0.250, 0.156, 0.632], [0.750, 0.567, 0.294], [0.750, 0.452, 0.909], [0.750, 0.067, 0.206], [0.250, 0.831, 0.205], [0.750, 0.169, 0.795], [0.250, 0.933, 0.794], [0.750, 0.952, 0.591], [0.250, 0.331, 0.295], [0.250, 0.433, 0.706], [0.750, 0.669, 0.705], [0.250, 0.548, 0.091], [0.250, 0.048, 0.409]]
}

=====

{
  "formula": "Ba2BiAs",
  "functional": "PBE",
  "state": "relaxed",
  "e_tot_ev_per_atom": -3.937,
  "spacegroup": "P4/mmm, No. 123",
  "lattice_angstrom": [[3.918, 0.000, 0.000], [0.000, 3.918, 0.000], [0.000, 0.000, 9.396]],
  "species": ["As", "Bi", "Ba", "Ba"],
  "frac_coords": [[0.500, 0.500, 0.000], [0.500, 0.500, 0.500], [0.000, 0.000, 0.788], [0.000, 0.000, 0.212]]
}

=====

{
  "formula": "Nd2Y8Tl",
  "functional": "PBE",
  "state": "relaxed",
  "polymorph_energy_ev_per_atom": 0.1300,
  "e_tot_ev_per_atom": -5.690,
  "spacegroup": "C2/m, No. 12",
  "lattice_angstrom": [[-3.095, 0.031, 6.369], [6.230, -2.269, 5.131], [5.385, 4.395, 4.688]],
  "species": ["Y", "Y", "Y", "Y", "Y", "Y", "Y", "Y", "Nd", "Nd", "Tl"],
  "frac_coords": [[0.293, 0.344, 0.814], [0.806, 0.605, 0.605], [0.293, 0.814, 0.344], [0.707, 0.186, 0.656], [0.993, 0.222, 0.222], [0.707, 0.656, 0.186], [0.194, 0.395, 0.395], [0.007, 0.778, 0.778], [0.445, 0.808, 0.808], [0.555, 0.192, 0.192], [0.000, 0.000, 0.000]]
}